# 1
Computed, not measured: a relaxed structure of CsMnGe2I8 at the PBE level of DFT.

Calculated total energy ... -3.110 eV/atom
Uncorrected formation energy ... -0.47 eV/atom
Magnetic moment ... 4.0 μB/f.u.
Space-group type ... P-1 (2)

a b c (Å): 7.226 8.017 10.604
angles (deg): 73.07 75.89 75.16
Positions (direct):
1 I 0.759 0.163 0.178
2 I 0.753 0.784 0.030
3 I 0.247 0.216 0.970
4 Mn 0.000 0.000 0.000
5 I 0.187 0.697 0.241
6 I 0.241 0.837 0.822
7 Ge 0.561 0.566 0.282
8 Cs 0.000 0.000 0.500
9 I 0.813 0.303 0.759
10 I 0.438 0.254 0.530
11 I 0.562 0.746 0.470
12 Ge 0.439 0.434 0.718



# 2
Computed, not measured: a relaxed structure of Cs2GeMoI6 at the PBE level of DFT.

Calculated total energy ... -3.275 eV/atom
Uncorrected formation energy ... -0.63 eV/atom
Magnetic moment ... 4.0 μB/f.u.
Space-group type ... I4/mmm (139)

a b c (Å): 8.395 8.395 8.406
angles (deg): 60.04 60.04 90.00
Positions (direct):
1 Mo 0.000 0.000 0.000
2 Cs 0.250 0.750 0.500
3 I 0.244 0.756 0.000
4 I 0.756 0.756 0.488
5 Cs 0.750 0.250 0.500
6 Ge 0.500 0.500 0.000
7 I 0.244 0.244 0.000
8 I 0.756 0.244 0.000
9 I 0.244 0.244 0.512
10 I 0.756 0.756 0.000



# 3
Computed, not measured: a relaxed structure of Cs2GeI6N at the PBE level of DFT.

Calculated total energy ... -2.668 eV/atom
Uncorrected formation energy ... -0.27 eV/atom
Magnetic moment ... 2.1 μB/f.u.
Space-group type ... I4/mmm (139)

a b c (Å): 9.223 9.223 8.260
angles (deg): 56.06 56.06 90.00
Positions (direct):
1 Ge 0.000 0.000 0.000
2 I 0.222 0.222 0.000
3 Cs 0.250 0.750 0.500
4 I 0.778 0.222 0.000
5 I 0.716 0.716 0.569
6 I 0.284 0.284 0.431
7 N 0.500 0.500 0.000
8 I 0.222 0.778 0.000
9 I 0.778 0.778 0.000
10 Cs 0.750 0.250 0.500



# 4
Computed, not measured: a relaxed structure of CsGeI2N at the PBE level of DFT.

Calculated total energy ... -3.450 eV/atom
Uncorrected formation energy ... -0.07 eV/atom
Magnetic moment ... 0.0 μB/f.u.
Space-group type ... P4/mmm (123)

a b c (Å): 6.862 6.862 3.583
angles (deg): 90.00 90.00 90.00
Positions (direct):
1 Ge 0.000 0.000 0.000
2 Cs 0.500 0.500 0.500
3 I 0.000 0.500 0.000
4 I 0.500 0.000 0.000
5 N 0.000 0.000 0.500



# 5
Computed, not measured: a relaxed structure of Cs4NaGe3I12 at the PBE level of DFT.

Calculated total energy ... -2.728 eV/atom
Uncorrected formation energy ... -0.87 eV/atom
Magnetic moment ... 0.0 μB/f.u.
Space-group type ... Im-3m (229)

a b c (Å): 10.411 10.411 10.411
angles (deg): 109.47 109.47 109.47
Positions (direct):
1 Ge 0.000 0.500 0.500
2 Cs 0.000 0.500 0.000
3 I 0.741 0.741 0.000
4 Cs 0.000 0.000 0.500
5 I 0.500 0.750 0.250
6 I 0.741 0.000 0.741
7 Cs 0.500 0.500 0.500
8 Na 0.000 0.000 0.000
9 Ge 0.500 0.500 0.000
10 I 0.000 0.259 0.259
11 I 0.259 0.000 0.259
12 Ge 0.500 0.000 0.500
13 I 0.750 0.500 0.250
14 I 0.259 0.259 0.000
15 I 0.750 0.250 0.500
16 I 0.250 0.750 0.500
17 I 0.250 0.500 0.750
18 Cs 0.500 0.000 0.000
19 I 0.000 0.741 0.741
20 I 0.500 0.250 0.750



# 6
Computed, not measured: a relaxed structure of Cs2NaGeI5 at the PBE level of DFT.

Calculated total energy ... -2.760 eV/atom
Uncorrected formation energy ... -1.05 eV/atom
Magnetic moment ... 0.0 μB/f.u.
Space-group type ... Cmc2_1 (36)

a b c (Å): 4.759 11.306 16.570
angles (deg): 90.00 90.00 102.15
Positions (direct):
1 I 0.078 0.156 0.064
2 I 0.649 0.298 0.490
3 Na 0.567 0.135 0.951
4 I 0.295 0.591 0.404
5 Ge 0.777 0.553 0.524
6 I 0.501 0.002 0.793
7 I 0.922 0.844 0.564
8 Cs 0.088 0.176 0.659
9 I 0.736 0.471 0.146
10 I 0.264 0.529 0.646
11 I 0.499 0.998 0.293
12 Na 0.433 0.865 0.451
13 I 0.705 0.409 0.904
14 Cs 0.135 0.270 0.293
15 Cs 0.865 0.730 0.793
16 Ge 0.223 0.447 0.024
17 I 0.351 0.702 0.990
18 Cs 0.912 0.824 0.159



# 7
Computed, not measured: a relaxed structure of Cs2NaGeI6 at the PBE level of DFT.

Calculated total energy ... -2.622 eV/atom
Uncorrected formation energy ... -0.93 eV/atom
Magnetic moment ... 0.0 μB/f.u.
Space-group type ... Fm-3m (225)

a b c (Å): 8.567 8.567 8.567
angles (deg): 60.00 60.00 90.00
Positions (direct):
1 Cs 0.750 0.250 0.500
2 I 0.762 0.762 0.000
3 I 0.238 0.762 0.000
4 Ge 0.000 0.000 0.000
5 I 0.762 0.762 0.477
6 I 0.238 0.238 0.523
7 Cs 0.250 0.750 0.500
8 Na 0.500 0.500 0.000
9 I 0.238 0.238 0.000
10 I 0.762 0.238 0.000



# 8
Computed, not measured: a relaxed structure of Cs2NbGeI6 at the PBE level of DFT.

Calculated total energy ... -3.275 eV/atom
Uncorrected formation energy ... -0.71 eV/atom
Magnetic moment ... 3.0 μB/f.u.
Space-group type ... I4/mmm (139)

a b c (Å): 8.427 8.427 8.425
angles (deg): 59.99 59.99 90.00
Positions (direct):
1 Nb 0.000 0.000 0.000
2 I 0.754 0.246 0.000
3 I 0.246 0.754 0.000
4 Cs 0.250 0.750 0.500
5 I 0.754 0.754 0.000
6 Cs 0.750 0.250 0.500
7 I 0.754 0.754 0.492
8 I 0.246 0.246 0.000
9 I 0.246 0.246 0.508
10 Ge 0.500 0.500 0.000



# 9
Computed, not measured: a relaxed structure of CsNdGe2I8 at the PBE level of DFT.

Calculated total energy ... -3.103 eV/atom
Uncorrected formation energy ... -0.83 eV/atom
Magnetic moment ... 0.0 μB/f.u.
Space-group type ... P-1 (2)

a b c (Å): 7.860 7.284 11.107
angles (deg): 90.89 85.56 83.95
Positions (direct):
1 Nd 0.000 0.000 0.000
2 I 0.832 0.243 0.806
3 Cs 0.000 0.000 0.500
4 I 0.398 0.247 0.602
5 I 0.679 0.765 0.010
6 Ge 0.544 0.563 0.201
7 I 0.168 0.757 0.194
8 Ge 0.456 0.437 0.799
9 I 0.602 0.753 0.398
10 I 0.840 0.266 0.214
11 I 0.160 0.734 0.786
12 I 0.321 0.235 0.990



# 10
Computed, not measured: a relaxed structure of CsNpGeI6 at the PBE level of DFT.

Calculated total energy ... -3.923 eV/atom
Uncorrected formation energy ... -0.84 eV/atom
Magnetic moment ... 4.0 μB/f.u.
Space-group type ... C2 (5)

a b c (Å): 7.989 7.989 8.565
angles (deg): 90.08 89.92 60.74
Positions (direct):
1 I 0.626 0.369 0.707
2 I 0.367 0.009 0.702
3 I 0.617 0.011 0.292
4 Cs 0.999 0.000 0.000
5 Np 0.667 0.667 0.500
6 Ge 0.334 0.334 0.500
7 I 0.011 0.617 0.708
8 I 0.369 0.626 0.293
9 I 0.009 0.367 0.298



# 11
Computed, not measured: a relaxed structure of Cs2GeIO at the PBE level of DFT.

Calculated total energy ... -3.475 eV/atom
Uncorrected formation energy ... -0.91 eV/atom
Magnetic moment ... 0.7 μB/f.u.
Space-group type ... P4/mmm (123)

a b c (Å): 6.651 4.136 6.651
angles (deg): 90.00 90.00 90.00
Positions (direct):
1 Cs 0.000 0.000 0.500
2 Cs 0.500 0.000 0.000
3 I 0.500 0.500 0.500
4 Ge 0.000 0.500 0.000
5 O 0.000 0.000 0.000



# 12
Computed, not measured: a relaxed structure of Cs2GePI6 at the PBE level of DFT.

Calculated total energy ... -2.745 eV/atom
Uncorrected formation energy ... -0.64 eV/atom
Magnetic moment ... 0.0 μB/f.u.
Space-group type ... I4/mmm (139)

a b c (Å): 8.314 8.314 8.306
angles (deg): 59.97 59.97 90.00
Positions (direct):
1 I 0.254 0.746 0.000
2 I 0.744 0.744 0.513
3 I 0.746 0.746 0.000
4 I 0.746 0.254 0.000
5 I 0.256 0.256 0.487
6 P 0.500 0.500 0.000
7 Ge 0.000 0.000 0.000
8 Cs 0.250 0.750 0.500
9 I 0.254 0.254 0.000
10 Cs 0.750 0.250 0.500



- What is the uncorrected formation energy in the third record?
  -0.27 eV/atom